Below is an optimized crystal structure of Ag3WF8, with properties calculated at the PBE+U level.

Values from the calculation:
calculated total energy = -104.57 eV/cell
N(E_F) = 0.00 states/eV/atom

a b c (Å): 5.8356 11.0554 7.7482
angles (deg): 90.00 90.00 90.00
Space group C222 (No. 21)
Unique sites:
Ag  0.0000  0.0000  0.0000 (multiplicity 2)
Ag  0.2500  0.2500  0.7830 (multiplicity 4)
W  0.0000  0.0000  0.5000 (multiplicity 2)
F  0.0000  0.1787  0.5000 (multiplicity 4)
F  0.0000  0.1934  0.0000 (multiplicity 4)
F  0.2392  0.0066  0.6719 (multiplicity 8)